A plane-wave DFT calculation with PBEsol was carried out for crystalline MnSi3Se at its relaxed geometry.

Calculated total energy ... -24.40 eV per cell

Geometry as POSCAR:
```
MnSi3Se
1.0
4.766 0.000 0.000
0.000 4.766 0.000
0.000 0.000 4.766
Se Si Mn
1 3 1
direct
0.000 0.000 0.000 Se
0.500 0.000 0.000 Si
0.000 0.500 0.000 Si
0.000 0.000 0.500 Si
0.500 0.500 0.500 Mn
```